Below is a geometry-optimized SmZn8Rh4 structure, with properties calculated at the PBE-GGA level.

Structure (extended XYZ):
```
13
Lattice="-1.796 3.525 3.999 -6.280 -1.056 2.067 1.148 -2.042 6.272" Properties=species:S:1:pos:R:3 pbc="T T T"
Sm 0.000 0.000 0.000
Zn -1.388 -1.705 4.836
Zn -3.744 -1.392 3.502
Zn -3.993 -0.837 6.857
Zn -2.934 1.264 5.481
Zn -5.507 0.485 5.012
Zn -1.420 -0.058 7.326
Zn -1.648 0.274 2.975
Zn -5.279 0.154 9.363
Rh 0.574 -1.021 3.136
Rh -0.324 0.741 5.135
Rh -3.140 -0.528 1.034
Rh -4.038 1.235 3.033
```

Computed properties:
ΔE_f ... -0.4233 eV per atom
Electronic total energy ... -49.82 eV per cell